Entry 1:
The following is a GGA-PBE calculation of a geometry-optimized TaV7C2 structure, from Alexandria.

Unit cell a=4.0429 b=6.1396 c=6.1396 alpha=117.84 beta=90.00 gamma=90.00
Atoms (fractional coordinates):
Ta1 0.0000 0.0000 0.0000
V1 0.0000 0.7207 0.2793
V2 0.0000 0.2793 0.7207
V3 0.5000 0.0631 0.3324
V4 0.5000 0.9369 0.6676
V5 0.5000 0.3324 0.0631
V6 0.5000 0.6676 0.9369
V7 0.5000 0.5000 0.5000
C1 0.5000 0.7034 0.2966
C2 0.5000 0.2966 0.7034

Values from the calculation:
Total DFT energy (no corrections) (eV per atom): -9.341
Density (g cm⁻³): 6.9



Entry 2:
The following is a GGA-PBE calculation of a geometry-optimized Ta3VC structure, from Alexandria.

Unit cell a=4.2817 b=4.2817 c=4.2817 alpha=90.00 beta=90.00 gamma=90.00
Atoms (fractional coordinates):
C1 0.0000 0.0000 0.0000
Ta1 0.0000 0.5000 0.0000
Ta2 0.0000 0.0000 0.5000
Ta3 0.5000 0.0000 0.0000
V1 0.5000 0.5000 0.5000

Values from the calculation:
Total DFT energy (no corrections) (eV per atom): -10.828
Energy above the lowest structure with this stoichiometry (meV per atom): 0.0
Density (g cm⁻³): 12.8



Entry 3:
The following is a GGA-PBE calculation of a geometry-optimized TaVC structure, from Alexandria.

Unit cell a=4.2311 b=5.2516 c=5.2516 alpha=132.11 beta=90.00 gamma=90.00
Atoms (fractional coordinates):
Ta1 0.2500 0.7265 0.2735
Ta2 0.7500 0.2735 0.7265
V1 0.5000 0.0000 0.0000
V2 0.0000 0.0000 0.0000
C1 0.2500 0.1904 0.8096
C2 0.7500 0.8096 0.1904

Values from the calculation:
Total DFT energy (no corrections) (eV per atom): -9.902
Energy above the lowest structure with this stoichiometry (meV per atom): 645.0
Density (g cm⁻³): 9.4



Entry 4:
The following is a GGA-PBE calculation of a geometry-optimized Ta3V3C structure, from Alexandria.

Unit cell a=8.2989 b=8.2989 c=8.2989 alpha=60.00 beta=60.00 gamma=60.00
Atoms (fractional coordinates):
Ta1 0.0611 0.4389 0.0611
Ta2 0.1889 0.1889 0.8111
Ta3 0.8111 0.8111 0.1889
Ta4 0.8111 0.1889 0.8111
Ta5 0.8111 0.1889 0.1889
Ta6 0.1889 0.8111 0.8111
Ta7 0.4389 0.0611 0.0611
Ta8 0.0611 0.0611 0.4389
Ta9 0.4389 0.4389 0.0611
Ta10 0.0611 0.4389 0.4389
Ta11 0.1889 0.8111 0.1889
Ta12 0.4389 0.0611 0.4389
V1 0.8310 0.8310 0.8310
V2 0.4190 0.4190 0.7431
V3 0.4190 0.7431 0.4190
V4 0.7431 0.4190 0.4190
V5 0.8310 0.5069 0.8310
V6 0.5069 0.8310 0.8310
V7 0.8310 0.8310 0.5069
V8 0.4190 0.4190 0.4190
V9 0.6250 0.6250 0.6250
V10 0.6250 0.6250 0.1250
V11 0.6250 0.1250 0.6250
V12 0.1250 0.6250 0.6250
C1 0.1250 0.1250 0.1250
C2 0.1250 0.1250 0.6250
C3 0.1250 0.6250 0.1250
C4 0.6250 0.1250 0.1250

Values from the calculation:
Total DFT energy (no corrections) (eV per atom): -10.604
Density (g cm⁻³): 11.6



Entry 5:
The following is a GGA-PBE calculation of a geometry-optimized TaVC structure, from Alexandria.

Unit cell a=3.0299 b=3.0299 c=4.7440 alpha=90.00 beta=90.00 gamma=120.00
Atoms (fractional coordinates):
C1 0.6667 0.3333 0.3185
V1 0.0000 0.0000 0.0891
Ta1 0.3333 0.6667 0.5924

Values from the calculation:
Total DFT energy (no corrections) (eV per atom): -10.547
Energy above the lowest structure with this stoichiometry (meV per atom): 0.0
Density (g cm⁻³): 10.7



Entry 6:
The following is a GGA-PBE calculation of a geometry-optimized TaVC structure, from Alexandria.

Unit cell a=3.3406 b=3.3406 c=7.7610 alpha=102.64 beta=102.64 gamma=89.95
Atoms (fractional coordinates):
Ta1 0.0877 0.2513 0.3615
Ta2 0.7487 0.9123 0.6385
V1 0.4244 0.5756 0.0000
V2 0.9263 0.0737 0.0000
C1 0.3397 0.9885 0.8262
C2 0.0115 0.6603 0.1738

Values from the calculation:
Total DFT energy (no corrections) (eV per atom): -9.898
Energy above the lowest structure with this stoichiometry (meV per atom): 649.2
Density (g cm⁻³): 9.8



Entry 7:
The following is a GGA-PBE calculation of a geometry-optimized TaVC2 structure, from Alexandria.

Unit cell a=4.6675 b=4.6675 c=5.7516 alpha=66.06 beta=66.06 gamma=90.00
Atoms (fractional coordinates):
C1 0.6060 0.1250 0.2500
C2 0.1440 0.6250 0.2500
C3 0.3750 0.3940 0.7500
C4 0.8750 0.8560 0.7500
Ta1 0.0000 0.0000 0.0000
Ta2 0.7500 0.2500 0.5000
V1 0.5000 0.5000 0.0000
V2 0.2500 0.7500 0.5000

Values from the calculation:
Total DFT energy (no corrections) (eV per atom): -9.792
Energy above the lowest structure with this stoichiometry (meV per atom): 540.0
Density (g cm⁻³): 8.3



Entry 8:
The following is a GGA-PBE calculation of a geometry-optimized TaVC2 structure, from Alexandria.

Unit cell a=3.0445 b=3.0445 c=5.4663 alpha=73.83 beta=73.83 gamma=60.00
Atoms (fractional coordinates):
Ta1 0.6719 0.6719 0.9844
V1 0.4933 0.4933 0.5202
C1 0.0881 0.0881 0.7358
C2 0.2468 0.2468 0.2596

Values from the calculation:
Total DFT energy (no corrections) (eV per atom): -10.259
Energy above the lowest structure with this stoichiometry (meV per atom): 73.0
Density (g cm⁻³): 10.2



Entry 9:
The following is a GGA-PBE calculation of a geometry-optimized TaVC2 structure, from Alexandria.

Unit cell a=3.8252 b=3.8252 c=3.8252 alpha=60.00 beta=60.00 gamma=60.00
Atoms (fractional coordinates):
C1 0.2500 0.2500 0.2500
C2 0.7500 0.7500 0.7500
Ta1 0.5000 0.5000 0.5000
V1 0.0000 0.0000 0.0000

Values from the calculation:
Total DFT energy (no corrections) (eV per atom): -9.416
Energy above the lowest structure with this stoichiometry (meV per atom): 915.8
Density (g cm⁻³): 10.7



Entry 10:
The following is a GGA-PBE calculation of a geometry-optimized Ta2VC structure, from Alexandria.

Unit cell a=3.0525 b=3.0525 c=7.3118 alpha=77.95 beta=77.95 gamma=60.00
Atoms (fractional coordinates):
C1 0.0000 0.0000 0.0000
V1 0.5000 0.5000 0.5000
Ta1 0.7276 0.7276 0.8171
Ta2 0.2724 0.2724 0.1829

Values from the calculation:
Total DFT energy (no corrections) (eV per atom): -10.747
Density (g cm⁻³): 12.3



Entry 11:
The following is a GGA-PBE calculation of a geometry-optimized Ta2VC structure, from Alexandria.

Unit cell a=7.6125 b=7.6125 c=5.7702 alpha=48.73 beta=48.73 gamma=90.00
Atoms (fractional coordinates):
C1 0.5000 0.5000 0.0000
C2 0.2500 0.7500 0.5000
Ta1 0.4956 0.1250 0.2500
Ta2 0.2544 0.6250 0.2500
Ta3 0.3750 0.5044 0.7500
Ta4 0.8750 0.7456 0.7500
V1 0.0000 0.0000 0.0000
V2 0.7500 0.2500 0.5000

Values from the calculation:
Total DFT energy (no corrections) (eV per atom): -10.412
Density (g cm⁻³): 11.7



Entry 12:
The following is a GGA-PBE calculation of a geometry-optimized Y2TaVC structure, from Alexandria.

Unit cell a=5.3801 b=3.8159 c=5.3801 alpha=90.00 beta=90.00 gamma=90.00
Each line ends with the local moment (μB).
Atoms (fractional coordinates):
Y1 0.0000 0.0000 0.5000  0.04
Y2 0.5000 0.0000 0.0000  0.09
C1 0.0000 0.5000 0.0000  0.01
V1 0.0000 0.0000 0.0000  -0.30
Ta1 0.5000 0.5000 0.5000  0.87

Values from the calculation:
Total DFT energy (no corrections) (eV per atom): -7.381
Density (g cm⁻³): 6.3